DFT (PBE-GGA) results for an optimized crystal structure of Hf4ZnGa5.

Unit cell a=6.4317 b=6.4317 c=6.4317 alpha=100.77 beta=100.77 gamma=128.78
With the nearest neighbours (Å) after each atom.
Fractional positions:
Hf 0.0583 0.3186 0.3769  6 Ga 2.72-2.88, 1 Zn 2.95
Hf 0.3186 0.9417 0.2603  6 Ga 2.72-2.88, 1 Zn 2.95
Hf 0.6814 0.0583 0.7397  6 Ga 2.72-2.88, 1 Zn 2.95
Hf 0.9417 0.6814 0.6231  6 Ga 2.72-2.88, 1 Zn 2.95
Zn 0.7700 0.7700 0.0000  5 Ga 2.40-2.58
Ga 0.2017 0.2017 0.0000  1 Zn 2.40, 4 Ga 2.68
Ga 0.2630 0.5977 0.8611  1 Zn 2.58, 1 Ga 2.68, 5 Hf 2.72-2.88
Ga 0.4019 0.2630 0.6653  1 Zn 2.58, 1 Ga 2.68, 5 Hf 2.72-2.88
Ga 0.5977 0.7366 0.3347  1 Zn 2.58, 1 Ga 2.68, 5 Hf 2.72-2.88
Ga 0.7366 0.4019 0.1389  1 Zn 2.58, 1 Ga 2.68, 5 Hf 2.72-2.88

Computed properties:
E ... -5.81 eV per atom

---

DFT (PBE-GGA) results for an optimized crystal structure of Lu2AlGa.

Unit cell a=3.4398 b=3.4398 c=7.3402 alpha=90.00 beta=90.00 gamma=90.00
With the nearest neighbours (Å) after each atom.
Fractional positions:
Lu 0.0000 0.0000 0.2468  4 Ga 3.03, 4 Al 3.06
Lu 0.0000 0.0000 0.7532  4 Ga 3.03, 4 Al 3.06
Al 0.5000 0.5000 0.5000  8 Lu 3.06
Ga 0.5000 0.5000 0.0000  8 Lu 3.03

Computed properties:
E ... -4.41 eV per atom

---

DFT (PBE-GGA) results for an optimized crystal structure of LaTc2Ge3.

Unit cell a=6.3083 b=6.3083 c=5.8495 alpha=90.00 beta=90.00 gamma=76.26
With the nearest neighbours (Å) after each atom.
Fractional positions:
La 0.1561 0.8439 0.7500  5 Ge 3.03-3.38
La 0.8439 0.1561 0.2500  5 Ge 3.03-3.38
Tc 0.2972 0.2972 0.0000  6 Ge 2.51-2.70
Tc 0.2972 0.2972 0.5000  6 Ge 2.51-2.70
Tc 0.7028 0.7028 0.0000  6 Ge 2.51-2.70
Tc 0.7028 0.7028 0.5000  6 Ge 2.51-2.70
Ge 0.0348 0.6133 0.2500  4 Tc 2.51-2.70, 1 Ge 2.58
Ge 0.3867 0.9652 0.2500  4 Tc 2.51-2.70, 1 Ge 2.58
Ge 0.4545 0.5455 0.2500  4 Tc 2.51, 2 Ge 2.58
Ge 0.5455 0.4545 0.7500  4 Tc 2.51, 2 Ge 2.58
Ge 0.6133 0.0348 0.7500  4 Tc 2.51-2.70, 1 Ge 2.58
Ge 0.9652 0.3867 0.7500  4 Tc 2.51-2.70, 1 Ge 2.58

Computed properties:
E ... -6.94 eV per atom

---

| no. | total magnetic moment (Bohr magnetons per cell) |
| --- | --- |
| 1 | 0.00 |
| 2 | 0.00 |
| 3 | 0.00 |